TaTeAu | PBE | relaxed

Cell lengths 3.5283, 3.5283, 25.4861 Å; angles 90.00, 90.00, 120.00 degrees
With the nearest neighbours (Å) after each atom.
Sites, in units of the cell vectors:
Ta1 0.3333 0.6667 0.1128  6 Au 2.73-2.77
Ta2 0.3333 0.6667 0.6415  6 Te 2.78-2.79
Ta3 0.6667 0.3333 0.3585  6 Te 2.78-2.79
Ta4 0.6667 0.3333 0.8872  6 Au 2.73-2.77
Te1 0.3333 0.6667 0.2836  3 Ta 2.79
Te2 0.3333 0.6667 0.4326  3 Ta 2.78
Te3 0.6667 0.3333 0.5674  3 Ta 2.78
Te4 0.6667 0.3333 0.7164  3 Ta 2.79
Au1 0.3333 0.6667 0.8135  3 Ta 2.77
Au2 0.3333 0.6667 0.9588  3 Ta 2.73, 3 Au 2.93
Au3 0.6667 0.3333 0.0412  3 Ta 2.73, 3 Au 2.93
Au4 0.6667 0.3333 0.1865  3 Ta 2.77

Calculated values
**ρ**: 12.2 g/cm3
**Total DFT energy (no corrections)**: -0.443 Ry/atom
**E_form (uncorrected)**: 0.2 eV/f.u.
**Energy above the most stable polymorph in this dataset**: 0 meV/atom
**Calculated volume**: 22.898 Å³ per atom
**Spin magnetization**: 0.00 μB per formula unit
**Space-group type**: P-3m1

Ta2TeAu | PBE | relaxed

Cell lengths 3.5252, 4.5857, 4.8003 Å; angles 90.00, 90.00, 90.00 degrees
With the nearest neighbours (Å) after each atom.
Sites, in units of the cell vectors:
Ta1 0.0000 0.0000 0.0000  4 Au 2.89, 4 Ta 2.98
Ta2 0.5000 0.0000 0.5000  4 Te 2.89, 4 Ta 2.98
Te1 0.0000 0.5000 0.5000  4 Ta 2.89, 4 Au 2.98
Au1 0.5000 0.5000 0.0000  4 Ta 2.89, 4 Te 2.98

Calculated values
**ρ**: 14.7 g/cm3
**Total DFT energy (no corrections)**: -0.530 Ry/atom
**E_form (uncorrected)**: 1.3 eV/f.u.
**Calculated volume**: 19.399 Å³ per atom
**Spin magnetization**: 0.00 μB per formula unit
**Space-group type**: Pmmm

TaTeAu2 | PBE | relaxed

Cell lengths 5.5851, 5.5851, 5.5851 Å; angles 137.41, 137.41, 61.81 degrees
With the nearest neighbours (Å) after each atom.
Sites, in units of the cell vectors:
Ta1 0.0000 0.0000 0.0000  4 Te 2.87, 8 Au 3.14
Te1 0.5000 0.5000 0.0000  4 Ta 2.87, 8 Au 3.14
Au1 0.2500 0.7500 0.5000  4 Au 2.87, 4 Ta 3.14, 4 Te 3.14
Au2 0.7500 0.2500 0.5000  4 Au 2.87, 4 Ta 3.14, 4 Te 3.14

Calculated values
**ρ**: 14.8 g/cm3
**Total DFT energy (no corrections)**: -0.367 Ry/atom
**E_form (uncorrected)**: 1.6 eV/f.u.
**Calculated volume**: 19.719 Å³ per atom
**Spin magnetization**: 0.00 μB per formula unit
**Space-group type**: I4/mmm